Density functional theory data (PBE) for FeCuH2W after structural relaxation.

abc: 3.4442 4.8881 3.4442
angles: 90.00 90.00 90.00
Last column: nearest neighbours and their distance in Å.
Sites, in units of the cell vectors:
Cu (0.0000, 0.5000, 0.0000)  4 Fe 2.44, 2 W 2.44
Fe (0.5000, 0.5000, 0.5000)  4 Cu 2.44
H (0.0000, 0.0000, 0.5000)  2 W 1.72
H (0.5000, 0.0000, 0.0000)  2 W 1.72
W (0.0000, 0.0000, 0.0000)  4 H 1.72

Values from the calculation:
**Raw total energy**: -5.531 eV per atom
**V**: 58.0 Å³ per cell
**Fermi-level density of states**: 0.77 states/eV per atom


Density functional theory data (PBE) for Tb3DyY2Er6 after structural relaxation.

abc: 6.1194 6.1194 11.7058
angles: 94.99 94.99 119.94
Last column: nearest neighbours and their distance in Å.
Sites, in units of the cell vectors:
Er (0.9162, 0.5835, 0.7498)  6 Er 3.53-3.54, 3 Tb 3.53, 1 Dy 3.53, 2 Y 3.53
Er (0.7511, 0.7511, 0.2502)  6 Er 3.53-3.54, 3 Tb 3.53, 1 Dy 3.53, 2 Y 3.53
Er (0.4165, 0.0838, 0.2502)  6 Er 3.53-3.54, 3 Tb 3.53, 1 Dy 3.53, 2 Y 3.53
Er (0.0838, 0.4165, 0.2502)  6 Er 3.53-3.54, 3 Tb 3.53, 1 Dy 3.53, 2 Y 3.53
Er (0.5835, 0.9162, 0.7498)  6 Er 3.53-3.54, 3 Tb 3.53, 1 Dy 3.53, 2 Y 3.53
Er (0.2489, 0.2489, 0.7498)  6 Er 3.53-3.54, 3 Tb 3.53, 1 Dy 3.53, 2 Y 3.53
Tb (0.8333, 0.1667, 0.5000)  6 Er 3.53, 6 Tb 3.53-3.54
Tb (0.5000, 0.5000, 0.5000)  6 Er 3.53, 6 Tb 3.53-3.54
Tb (0.1667, 0.8333, 0.5000)  6 Er 3.53, 6 Tb 3.53-3.54
Y (0.3333, 0.6667, 0.0000)  3 Dy 3.53-3.54, 6 Er 3.53, 3 Y 3.53
Y (0.6667, 0.3333, 0.0000)  3 Dy 3.53-3.54, 6 Er 3.53, 3 Y 3.53
Dy (0.0000, 0.0000, 0.0000)  6 Er 3.53, 6 Y 3.53-3.54

Values from the calculation:
**Raw total energy**: -4.879 eV per atom
**V**: 374.1 Å³ per cell
**Fermi-level density of states**: 1.39 states/eV per atom
**ΔH_f (0 K)**: 0.02 eV/atom


Number 1: size of the total moment 2.729 μB/f.u.. Number 2: size of the total moment 0.000 μB/f.u..